A plane-wave DFT calculation with PBE-GGA was carried out for Er3ThRu2 after structural relaxation.

Properties
energy relative to the elements: -0.3331 eV per atom
crystal system: monoclinic

Cell: 15.8548 4.7670 8.3649 Å, 90.00 100.62 90.00°
Space group C2/m (No. 12)
Unique sites:
Er 0.0666 0.0000 0.1819
Er 0.1889 0.0000 0.5547
Er 0.1914 0.5000 0.0719
Th 0.0634 0.5000 0.6962
Ru 0.1188 0.5000 0.3800
Ru 0.1234 0.0000 0.8662

=====

A plane-wave DFT calculation with PBE-GGA was carried out for Cs2ZnCBr6 after structural relaxation.

Properties
ΔE_f (raw): -10.4 kcal/mol of atoms
crystal system: tetragonal

Cell: 7.4596 7.4596 10.5006 Å, 90.00 90.00 90.00°
Space group I4/mmm (No. 139)
Unique sites:
Cs 0.0000 0.5000 0.2500
Zn 0.0000 0.0000 0.0000
C 0.0000 0.0000 0.5000
Br 0.0000 0.0000 0.2518
Br 0.2412 0.2412 0.5000

=====

A plane-wave DFT calculation with PBE-GGA was carried out for Ce2ZnPd9 after structural relaxation.

Properties
energy relative to the elements: -0.6713 eV per atom
crystal system: tetragonal

Cell: 4.1183 4.1183 11.9909 Å, 90.00 90.00 90.00°
Space group P4/mmm (No. 123)
Unique sites:
Ce 0.0000 0.0000 0.1784
Zn 0.0000 0.0000 0.5000
Pd 0.0000 0.5000 0.0000
Pd 0.0000 0.5000 0.3431
Pd 0.5000 0.5000 0.1713
Pd 0.5000 0.5000 0.5000

=====

A plane-wave DFT calculation with PBE-GGA was carried out for Ni2Ag2Te after structural relaxation.

Properties
distance to the lowest polymorph of the same formula: 0 meV per atom
ΔE_f (raw): 3.7 kcal/mol of atoms
crystal system: tetragonal

Cell: 6.4027 6.4027 4.1251 Å, 90.00 90.00 90.00°
Space group P4/mbm (No. 127)
Unique sites:
Ni 0.1369 0.3631 0.0000
Ag 0.1582 0.6582 0.5000
Te 0.0000 0.0000 0.0000

=====

A plane-wave DFT calculation with PBE-GGA was carried out for Si2Tc after structural relaxation.

Properties
distance to the lowest polymorph of the same formula: 334 meV per atom
ΔE_f (raw): -1.4 kcal/mol of atoms
crystal system: monoclinic

Cell: 20.6552 3.8425 4.1731 Å, 90.00 98.56 90.00°
Space group C2/m (No. 12)
Unique sites:
Si 0.0362 0.0000 0.2851
Si 0.1232 0.5000 0.3331
Si 0.1281 0.0000 0.9408
Si 0.2091 0.0000 0.4582
Tc 0.0527 0.5000 0.7746
Tc 0.1966 0.5000 0.8394

=====

A plane-wave DFT calculation with PBE-GGA was carried out for InAgS2Cl after structural relaxation.

Properties
distance to the lowest polymorph of the same formula: 0 meV per atom
ΔE_f (raw): 3.7 kcal/mol of atoms
crystal system: tetragonal

Cell: 5.0471 5.0471 5.2530 Å, 90.00 90.00 90.00°
Space group P4/mmm (No. 123)
Unique sites:
In 0.0000 0.0000 0.0000
Ag 0.5000 0.5000 0.5000
S 0.0000 0.5000 0.0000
Cl 0.0000 0.0000 0.5000

=====

A plane-wave DFT calculation with PBE-GGA was carried out for ReSiP2 after structural relaxation.

Properties
ΔE_f (raw): 2.8 kcal/mol of atoms
crystal system: trigonal

Cell: 3.0907 3.0907 20.7916 Å, 90.00 90.00 120.00°
Space group R3m (No. 160, hexagonal axes)
Unique sites:
Re 0.0000 0.0000 0.0000
Si 0.0000 0.0000 0.7581
P 0.0000 0.0000 0.2556
P 0.0000 0.0000 0.5005

=====

A plane-wave DFT calculation with PBE-GGA was carried out for KMg2Cl after structural relaxation.

Properties
distance to the lowest polymorph of the same formula: 90 meV per atom
ΔE_f (raw): -12.2 kcal/mol of atoms
crystal system: tetragonal

Cell: 4.3396 4.3396 7.1420 Å, 90.00 90.00 90.00°
Space group P4/mmm (No. 123)
Unique sites:
K 0.0000 0.0000 0.0000
Mg 0.0000 0.5000 0.5000
Cl 0.5000 0.5000 0.0000

=====

Spin magnetization in μB/atom, matching the order above: 0.000 0.000 0.007 0.000 0.000 0.105 0.000 0.000
Ρ in Mg/m³, matching the order above: 10.00 4.68 10.64 9.05 6.25 4.00 8.00 1.52